Density functional theory data (GGA-PBE) for a relaxed TbHo2Cd3Cu2Ag crystal.

Size of the total moment   0.001 μB per atom
Energy of formation from the pure elements   -0.304 eV per atom
Space-group type   Amm2, No. 38

abc: 3.854 7.660 7.660
angles: 119.99 90.00 90.00
Sites, in units of the cell vectors:
1 Tb 0.000 0.000 0.000
2 Ho 0.000 0.410 0.820
3 Ho 0.000 0.820 0.410
4 Cd 0.500 0.141 0.411
5 Cd 0.500 0.411 0.141
6 Cd 0.500 0.678 0.678
7 Cu 0.500 0.077 0.742
8 Cu 0.500 0.742 0.077
9 Ag 0.000 0.410 0.410